## Cs2CoAgI6 (PBE)

Data for a relaxed structure of Cs2CoAgI6.

The structure in CIF format:
```
data_Cs2CoAgI6
_chemical_formula_sum 'Cs2 Co1 Ag1 I6'
_cell_length_a 8.2856
_cell_length_b 8.2856
_cell_length_c 8.3202
_cell_angle_alpha 60.14
_cell_angle_beta 60.14
_cell_angle_gamma 90.00
_space_group_name_H-M_alt 'P 1'
_space_group_IT_number 1
loop_
_space_group_symop_operation_xyz
'x,y,z'
loop_
_atom_site_label
_atom_site_fract_x
_atom_site_fract_y
_atom_site_fract_z
I1 0.7226 0.2774 0.0000
I2 0.2774 0.7226 0.0000
I3 0.7226 0.7226 0.0000
Cs1 0.7500 0.2500 0.5000
I4 0.2774 0.2774 0.0000
I5 0.2321 0.2321 0.5358
I6 0.7679 0.7679 0.4642
Co1 0.5000 0.5000 0.0000
Ag1 0.0000 0.0000 0.0000
Cs2 0.2500 0.7500 0.5000
```

Calculated values
Density of states at the Fermi level ... 33.71 states/eV/cell
Magnetic moment ... 2.00 μB per cell
Uncorrected formation energy ... -614 kJ/mol of formula units
Calculated total energy ... -27.33 eV for the cell shown